The following is a PBE-GGA calculation of a geometry-optimized CeH9Rh2 structure, from the Alexandria database.

## Properties
crystal system: tetragonal
symmetry: No. 141
spin magnetization: 0.0 μB per formula unit

Lattice parameters (Å, degrees): 8.0034 6.1087 6.1087 64.59 49.07 49.07
Closest atoms and distances in Å follow each position.
Atoms (fractional coordinates):
1 Ce 0.5000 0.0000 0.0000  16 H 2.30-2.41
2 Ce 0.2500 0.5000 0.5000  16 H 2.30-2.41
3 H 0.7500 0.5000 0.5000  4 Rh 1.91
4 H 0.0000 0.0000 0.0000  4 Rh 1.91
5 H 0.8889 0.9782 0.7082  1 Rh 1.71, 1 H 1.76
6 H 0.5753 0.0218 0.2918  1 Rh 1.71, 1 H 1.76
7 H 0.6171 0.2082 0.5218  1 Rh 1.71, 1 H 1.76
8 H 0.3471 0.7918 0.4782  1 Rh 1.71, 1 H 1.76
9 H 0.8611 0.7918 0.5218  1 Rh 1.71, 1 H 1.76
10 H 0.1747 0.2082 0.4782  1 Rh 1.71, 1 H 1.76
11 H 0.1329 0.9782 0.2918  1 Rh 1.71, 1 H 1.76
12 H 0.4029 0.0218 0.7082  1 Rh 1.71, 1 H 1.76
13 H 0.8611 0.5218 0.7918  1 Rh 1.71, 1 H 1.76
14 H 0.1747 0.4782 0.2082  1 Rh 1.71, 1 H 1.76
15 H 0.1329 0.2918 0.9782  1 Rh 1.71, 1 H 1.76
16 H 0.4029 0.7082 0.0218  1 Rh 1.71, 1 H 1.76
17 H 0.8889 0.7082 0.9782  1 Rh 1.71, 1 H 1.76
18 H 0.5753 0.2918 0.0218  1 Rh 1.71, 1 H 1.76
19 H 0.6171 0.5218 0.2082  1 Rh 1.71, 1 H 1.76
20 H 0.3471 0.4782 0.7918  1 Rh 1.71, 1 H 1.76
21 Rh 0.8750 0.2500 0.7500  4 H 1.71
22 Rh 0.8750 0.7500 0.2500  4 H 1.71
23 Rh 0.8750 0.2500 0.2500  4 H 1.71
24 Rh 0.3750 0.7500 0.7500  4 H 1.71

***

The following is a PBE-GGA calculation of a geometry-optimized CeH2Rh structure, from the Alexandria database.

## Properties
crystal system: trigonal
symmetry: No. 166
spin magnetization: 0.6 μB per formula unit

Lattice parameters (Å, degrees): 4.1752 4.1752 4.3026 60.98 60.98 60.00
Closest atoms and distances in Å follow each position.
Atoms (fractional coordinates):
1 H 0.1586 0.1586 0.5243  1 Rh 1.70
2 H 0.8414 0.8414 0.4757  1 Rh 1.70
3 Rh 0.0000 0.0000 0.0000  2 H 1.70
4 Ce 0.5000 0.5000 0.5000  6 H 2.41

***

Number 1: electronic total energy -4.285 eV/atom, theoretical density 6.92 g/cm³. Number 2: electronic total energy -5.492 eV/atom, theoretical density 7.56 g/cm³.